# K

Crystalline K at its relaxed geometry (PBE-GGA, Alexandria).

Structure (POSCAR):
```
K
1.0
4.6036 0.0000 0.0000
2.1200 4.0998 0.0000
0.7119 0.4548 15.2353
K
4
Cartesian
0.0000 0.0000 0.0000 K
0.9182 0.5272 7.6355 K
3.1803 1.9840 11.4367 K
3.4968 2.0982 3.8329 K
```

Computed properties:
Space-group type: No. 1
Spin magnetization in μB per cell: 0.00
Volume in Å³ per cell: 287.5
Energy of formation from the pure elements in eV/atom: 0.00
DOS(E_F) in states/eV per atom: 0.7826